First-principles (GGA-PBE) data for a relaxed structure of SrBeAs, as listed in Alexandria.

Properties
Size of the total moment   0.00 μB per formula unit
D(E_F)   1.68 states/eV per cell
Formation energy from the elements   -0.6476 eV/atom
Space group   P-6m2
Mass density   4.50 g cm⁻³

Cell lengths 3.9559, 3.9559, 4.6675 Å; angles 90.00, 90.00, 120.00 degrees
Element x y z (fractional)
Sr (0.0000, 0.0000, 0.0000)
Be (0.3333, 0.6667, 0.5000)
As (0.6667, 0.3333, 0.5000)